Computed, not measured: a relaxed structure of KSn2I2 at the PBE level of DFT.

Cell: 9.1896 9.1896 4.9213 Å, 90.00 90.00 90.00°
With the nearest neighbours (Å) after each atom.
Space group P4/mbm (No. 127)
Inequivalent atoms, fractional coordinates:
K  0.0000  0.0000  0.0000 x2  4 Sn 3.74
Sn  0.1077  0.3923  0.0000 x4  1 Sn 2.80
I  0.1558  0.6558  0.5000 x4  4 Sn 3.48

Computed properties:
Formation energy without anion corrections   -200 meV/atom
Energy above the most stable polymorph in this dataset   105 meV/atom
V   415.6 Å³/cell
E   -26.4 eV/cell

Computed, not measured: a relaxed structure of K2Sn2I7 at the PBE level of DFT.

Cell: 9.9226 15.1776 8.9495 Å, 90.00 97.17 90.00°
With the nearest neighbours (Å) after each atom.
Space group C2/m (No. 12)
Inequivalent atoms, fractional coordinates:
K  0.0000  0.1719  0.0000 x4  6 I 3.48-3.63
Sn  0.2319  0.0000  0.6345 x4  4 I 2.92-3.11
I  0.0000  0.5000  0.5000 x2  2 Sn 3.05
I  0.0634  0.0000  0.2818 x4  2 Sn 3.11-3.38
I  0.2053  0.3473  0.1711 x8  1 Sn 2.92

Computed properties:
Formation energy without anion corrections   -751 meV/atom
Energy above the most stable polymorph in this dataset   9 meV/atom
V   1337.3 Å³/cell
E   -58.6 eV/cell

Computed, not measured: a relaxed structure of K6Sn3I14 at the PBE level of DFT.

Cell: 13.0632 13.0632 7.2422 Å, 90.00 90.00 120.00°
With the nearest neighbours (Å) after each atom.
Space group P3 (No. 143)
Inequivalent atoms, fractional coordinates:
K  0.9996  0.5389  0.0000 x3  5 I 3.44-3.83
K  0.3127  0.1315  0.5700 x3  7 I 3.56-3.89
Sn  0.0000  0.0000  0.9676 x1  4 I 3.03-3.10
Sn  0.3333  0.6667  0.4028 x1  4 I 2.74-2.75
Sn  0.6667  0.3333  0.3076 x1  6 I 3.24-3.27
I  0.0000  0.0000  0.3864 x1  1 Sn 3.03
I  0.1133  0.8551  0.8273 x3  1 Sn 3.10
I  0.2064  0.4461  0.2468 x3  1 Sn 2.75
I  0.3333  0.6667  0.7809 x1  1 Sn 2.74
I  0.4217  0.1837  0.0799 x3  1 Sn 3.24, 2 K 3.44-3.48
I  0.5218  0.4388  0.5305 x3  1 Sn 3.27, 3 K 3.54-3.62

Computed properties:
Formation energy without anion corrections   -941 meV/atom
V   1070.3 Å³/cell
E   -61.9 eV/cell

Computed, not measured: a relaxed structure of K2Sn2I7 at the PBE level of DFT.

Cell: 12.4020 14.3926 7.5565 Å, 90.00 106.37 90.00°
With the nearest neighbours (Å) after each atom.
Space group C2/m (No. 12)
Inequivalent atoms, fractional coordinates:
K  0.0000  0.2041  0.0000 x4  6 I 3.57-3.79
Sn  0.2216  0.5000  0.4023 x4  4 I 2.91-3.04
I  0.0000  0.5000  0.5000 x2  2 Sn 3.04
I  0.0848  0.0000  0.2723 x4  1 Sn 2.91
I  0.2494  0.1620  0.8141 x8  1 Sn 2.93

Computed properties:
Formation energy without anion corrections   -760 meV/atom
Energy above the most stable polymorph in this dataset   0 meV/atom
V   1294.1 Å³/cell
E   -58.8 eV/cell

Computed, not measured: a relaxed structure of KSn3I at the PBE level of DFT.

Cell: 6.1460 6.1460 6.1460 Å, 90.00 90.00 90.00°
With the nearest neighbours (Å) after each atom.
Space group Pm-3m (No. 221)
Inequivalent atoms, fractional coordinates:
K  0.0000  0.0000  0.0000 x1  6 Sn 3.07
Sn  0.0000  0.0000  0.5000 x3  2 K 3.07
I  0.5000  0.5000  0.5000 x1  12 Sn 4.35

Computed properties:
Formation energy without anion corrections   1014 meV/atom
Energy above the most stable polymorph in this dataset   550 meV/atom
V   232.2 Å³/cell
E   -9.6 eV/cell

Computed, not measured: a relaxed structure of K2SnI6 at the PBE level of DFT.

Cell: 7.8655 7.8655 14.9335 Å, 90.00 90.00 90.00°
With the nearest neighbours (Å) after each atom.
Space group P4_2/mnm (No. 136)
Inequivalent atoms, fractional coordinates:
K  0.0000  0.0000  0.1650 x4  6 I 3.54-3.61
Sn  0.0000  0.0000  0.5000 x2  6 I 2.91-2.92
I  0.1813  0.1813  0.3596 x8  1 Sn 2.91
I  0.2376  0.2376  0.0000 x4  1 Sn 2.92

Computed properties:
Formation energy without anion corrections   -772 meV/atom
V   923.9 Å³/cell
E   -44.9 eV/cell

Computed, not measured: a relaxed structure of K2SnI4 at the PBE level of DFT.

Cell: 15.7033 4.8246 9.4405 Å, 90.00 117.43 90.00°
With the nearest neighbours (Å) after each atom.
Space group C2/m (No. 12)
Inequivalent atoms, fractional coordinates:
K  0.1899  0.0000  0.1763 x4  6 I 3.48-3.73
Sn  0.0000  0.5000  0.5000 x2  6 I 3.17-3.26
I  0.0937  0.5000  0.8774 x4  1 Sn 3.17, 2 K 3.48
I  0.1448  0.0000  0.5212 x4  2 Sn 3.26, 1 K 3.64

Computed properties:
Formation energy without anion corrections   -1035 meV/atom
Energy above the most stable polymorph in this dataset   35 meV/atom
V   634.8 Å³/cell
E   -39.3 eV/cell

Computed, not measured: a relaxed structure of K3Sn5I12 at the PBE level of DFT.

Cell: 20.0744 20.0744 20.0744 Å, 90.00 90.00 90.00°
With the nearest neighbours (Å) after each atom.
Space group Ia-3d (No. 230)
Inequivalent atoms, fractional coordinates:
K  0.0000  0.2500  0.1250 x24  8 I 3.83-3.91
Sn  0.0000  0.0000  0.0000 x16  6 I 3.22
Sn  0.0000  0.2500  0.3750 x24  4 I 3.10
I  0.0253  0.0582  0.6476 x96  2 Sn 3.10-3.22

Computed properties:
Formation energy without anion corrections   -667 meV/atom
V   8089.6 Å³/cell
E   -442.0 eV/cell

Computed, not measured: a relaxed structure of K2Sn2I at the PBE level of DFT.

Cell: 10.2985 10.2985 4.1437 Å, 90.00 90.00 90.00°
With the nearest neighbours (Å) after each atom.
Space group P4/mbm (No. 127)
Inequivalent atoms, fractional coordinates:
K  0.2067  0.2933  0.0000 x4  6 Sn 3.59-3.89, 2 I 3.70
Sn  0.0919  0.5919  0.5000 x4  1 Sn 2.68
I  0.0000  0.0000  0.0000 x2  4 K 3.70

Computed properties:
Formation energy without anion corrections   -275 meV/atom
V   439.5 Å³/cell
E   -26.3 eV/cell

Computed, not measured: a relaxed structure of K2Sn2I5 at the PBE level of DFT.

Cell: 23.8178 8.2403 8.5796 Å, 90.00 90.00 90.00°
With the nearest neighbours (Å) after each atom.
Space group Ima2 (No. 46)
Inequivalent atoms, fractional coordinates:
K  0.1418  0.0514  0.0000 x8  6 I 3.48-3.74
Sn  0.0000  0.0000  0.4467 x4  6 I 3.13-3.26
Sn  0.2500  0.5597  0.9855 x4  3 I 3.12
I  0.0462  0.2195  0.7147 x8  2 Sn 3.13-3.24, 1 K 3.48
I  0.1265  0.6404  0.8914 x8  2 Sn 3.12-3.26
I  0.2500  0.2381  0.2606 x4  1 Sn 3.12

Computed properties:
Formation energy without anion corrections   -764 meV/atom
V   1683.9 Å³/cell
E   -99.3 eV/cell

Computed, not measured: a relaxed structure of KSnI5 at the PBE level of DFT.

Cell: 18.0699 9.3717 11.8945 Å, 90.00 130.06 90.00°
With the nearest neighbours (Å) after each atom.
Space group C2/c (No. 15)
Inequivalent atoms, fractional coordinates:
K  0.0000  0.0433  0.2500 x4  5 I 3.50-3.85
Sn  0.0000  0.5000  0.0000 x4  6 I 2.83-3.07
I  0.0000  0.4172  0.2500 x4  2 Sn 3.07
I  0.0778  0.1981  0.0404 x8  1 Sn 3.06, 1 I 3.34
I  0.1892  0.3884  0.7048 x8  1 Sn 2.83

Computed properties:
Formation energy without anion corrections   -582 meV/atom
Energy above the most stable polymorph in this dataset   62 meV/atom
V   1541.7 Å³/cell
E   -67.7 eV/cell

Computed, not measured: a relaxed structure of KSnI5 at the PBE level of DFT.

Cell: 14.9296 14.2042 10.1430 Å, 90.00 132.36 90.00°
With the nearest neighbours (Å) after each atom.
Space group C2/c (No. 15)
Inequivalent atoms, fractional coordinates:
K  0.2500  0.2500  0.0000 x4  2 I 3.45
Sn  0.0000  0.1271  0.2500 x4  4 I 2.75-2.78
I  0.9995  0.2435  0.0296 x8  1 Sn 2.78
I  0.0000  0.3964  0.7500 x4  2 K 3.45, 4 I 3.58-3.67
I  0.2098  0.0225  0.4587 x8  1 Sn 2.75

Computed properties:
Formation energy without anion corrections   -643 meV/atom
Energy above the most stable polymorph in this dataset   0 meV/atom
V   1589.3 Å³/cell
E   -69.4 eV/cell

Computed, not measured: a relaxed structure of KSn4I8 at the PBE level of DFT.

Cell: 13.7787 13.7787 13.7787 Å, 90.00 90.00 90.00°
With the nearest neighbours (Å) after each atom.
Space group F-43m (No. 216)
Inequivalent atoms, fractional coordinates:
K  0.0000  0.0000  0.0000 x4  4 I 3.37
Sn  0.1209  0.1209  0.3791 x16  6 I 3.23-3.30
I  0.1133  0.1133  0.6133 x16  3 Sn 3.23
I  0.1412  0.1412  0.1412 x16  3 Sn 3.30, 1 K 3.37

Computed properties:
Formation energy without anion corrections   -529 meV/atom
Energy above the most stable polymorph in this dataset   15 meV/atom
V   2615.9 Å³/cell
E   -145.6 eV/cell

Computed, not measured: a relaxed structure of KSn3I at the PBE level of DFT.

Cell: 6.0018 6.0018 6.0018 Å, 90.00 90.00 90.00°
With the nearest neighbours (Å) after each atom.
Space group Pm-3m (No. 221)
Inequivalent atoms, fractional coordinates:
K  0.0000  0.0000  0.0000 x1  12 Sn 4.24
Sn  0.0000  0.5000  0.5000 x3  2 I 3.00
I  0.5000  0.5000  0.5000 x1  6 Sn 3.00

Computed properties:
Formation energy without anion corrections   464 meV/atom
Energy above the most stable polymorph in this dataset   0 meV/atom
V   216.2 Å³/cell
E   -12.3 eV/cell

Computed, not measured: a relaxed structure of KSn2I2 at the PBE level of DFT.

Cell: 6.5160 6.5160 9.7326 Å, 90.00 90.00 90.00°
With the nearest neighbours (Å) after each atom.
Space group I4/mmm (No. 139)
Inequivalent atoms, fractional coordinates:
K  0.0000  0.0000  0.0000 x2  2 Sn 3.40
Sn  0.0000  0.0000  0.3490 x4  1 Sn 2.94
I  0.0000  0.5000  0.2500 x4  4 Sn 3.40

Computed properties:
Formation energy without anion corrections   -304 meV/atom
Energy above the most stable polymorph in this dataset   0 meV/atom
V   413.2 Å³/cell
E   -27.4 eV/cell

Computed, not measured: a relaxed structure of K2SnI4 at the PBE level of DFT.

Cell: 6.2115 6.2115 18.0501 Å, 90.00 90.00 90.00°
With the nearest neighbours (Å) after each atom.
Space group I4/mmm (No. 139)
Inequivalent atoms, fractional coordinates:
K  0.0000  0.0000  0.1353 x4  1 I 3.44
Sn  0.0000  0.0000  0.5000 x2  6 I 3.11-3.15
I  0.0000  0.0000  0.3257 x4  1 Sn 3.15, 1 K 3.44
I  0.0000  0.5000  0.0000 x4  2 Sn 3.11

Computed properties:
Formation energy without anion corrections   -1002 meV/atom
Energy above the most stable polymorph in this dataset   68 meV/atom
V   696.4 Å³/cell
E   -38.8 eV/cell

Computed, not measured: a relaxed structure of KSr2SnI8 at the PBE level of DFT.

Cell: 7.4045 9.9907 7.7294 Å, 90.00 90.41 90.00°
With the nearest neighbours (Å) after each atom.
Space group P2/m (No. 10)
Inequivalent atoms, fractional coordinates:
K  0.0000  0.0000  0.0000 x1  6 I 3.41-3.52
Sr  0.5000  0.2522  0.5000 x2  6 I 3.25-3.39
Sn  0.0000  0.5000  0.0000 x1  6 I 3.04-3.16
I  0.2386  0.5000  0.6620 x2  1 Sn 3.16, 2 Sr 3.39
I  0.2433  0.2813  0.1455 x4  1 Sn 3.04, 1 Sr 3.34
I  0.2653  0.0000  0.6409 x2  2 Sr 3.25, 1 K 3.41

Computed properties:
Formation energy without anion corrections   -1160 meV/atom
V   571.8 Å³/cell
E   -34.8 eV/cell

Computed, not measured: a relaxed structure of KSnTe2I at the PBE level of DFT.

Cell: 6.0110 6.0110 6.1282 Å, 90.00 90.00 90.00°
With the nearest neighbours (Å) after each atom.
Space group P4/mmm (No. 123)
Inequivalent atoms, fractional coordinates:
K  0.0000  0.0000  0.0000 x1  4 Te 3.01, 2 I 3.06
Sn  0.5000  0.5000  0.5000 x1  4 I 4.25, 8 Te 4.29
Te  0.0000  0.5000  0.0000 x2  2 K 3.01
I  0.0000  0.0000  0.5000 x1  2 K 3.06

Computed properties:
Formation energy without anion corrections   497 meV/atom
Energy above the most stable polymorph in this dataset   865 meV/atom
V   221.4 Å³/cell
E   -10.4 eV/cell